No. 1
YSiMo2 after structural relaxation. Source: the Alexandria database, functional PBE.

D(E_F) = 0.92 states/eV/atom
symmetry = I-42d (122)
uncorrected formation energy = 0.361 eV per atom
calculated volume = 20.6 Å³ per atom

Cell: 4.192 4.192 9.831 Å, 77.69 77.69 90.00°
Positions (direct):
Y (0.000, 0.000, 0.000)
Y (0.750, 0.250, 0.500)
Mo (0.524, 0.125, 0.250)
Mo (0.226, 0.625, 0.250)
Mo (0.375, 0.476, 0.750)
Mo (0.875, 0.774, 0.750)
Si (0.500, 0.500, 0.000)
Si (0.250, 0.750, 0.500)

***

No. 2
ZrSbP after structural relaxation. Source: the Alexandria database, functional PBE.

D(E_F) = 0.76 states/eV/atom
symmetry = F-43m (216)
uncorrected formation energy = -0.139 eV per atom
calculated volume = 22.5 Å³ per atom

Cell: 4.568 4.568 4.568 Å, 60.00 60.00 60.00°
Positions (direct):
Zr (0.500, 0.500, 0.500)
Sb (0.000, 0.000, 0.000)
P (0.250, 0.250, 0.250)

***

No. 3
HfZr3Tc after structural relaxation. Source: the Alexandria database, functional PBE.

D(E_F) = 1.43 states/eV/atom
electronic total energy = -8.6771 eV per atom
symmetry = Pm-3m (221)
calculated volume = 25.0 Å³ per atom

Cell: 4.999 4.999 4.999 Å, 90.00 90.00 90.00°
Positions (direct):
Hf (0.500, 0.500, 0.500)
Tc (0.000, 0.000, 0.000)
Zr (0.000, 0.500, 0.000)
Zr (0.000, 0.000, 0.500)
Zr (0.500, 0.000, 0.000)

***

No. 4
BaTbAs2S8 after structural relaxation. Source: the Alexandria database, functional PBE.

D(E_F) = 1.06 states/eV/atom
symmetry = P-3 (147)
uncorrected formation energy = -0.674 eV per atom
calculated volume = 25.8 Å³ per atom

Cell: 6.174 6.174 9.384 Å, 90.00 90.00 120.00°
Last column: magnetic moment on the atom in μB.
Positions (direct):
Ba (0.000, 0.000, 0.000)  0.00
Tb (0.000, 0.000, 0.500)  0.00
As (0.667, 0.333, 0.247)  0.00
As (0.333, 0.667, 0.753)  0.00
S (0.333, 0.667, 0.985)  0.11
S (0.330, 0.349, 0.308)  0.02
S (0.651, 0.981, 0.308)  0.02
S (0.667, 0.333, 0.015)  0.11
S (0.349, 0.019, 0.692)  0.02
S (0.670, 0.651, 0.692)  0.02
S (0.981, 0.330, 0.692)  0.02
S (0.019, 0.670, 0.308)  0.02

***

No. 5
BeP2Br after structural relaxation. Source: the Alexandria database, functional PBE.

D(E_F) = 0.40 states/eV/atom
symmetry = F-43m (216)
uncorrected formation energy = 0.938 eV per atom
calculated volume = 16.0 Å³ per atom

Cell: 4.492 4.492 4.492 Å, 60.00 60.00 60.00°
Positions (direct):
P (0.000, 0.000, 0.000)
P (0.250, 0.250, 0.250)
Br (0.750, 0.750, 0.750)
Be (0.500, 0.500, 0.500)

***

No. 6
ScZnTe2 after structural relaxation. Source: the Alexandria database, functional PBE.

D(E_F) = 0.37 states/eV/atom
symmetry = P4mm (99)
uncorrected formation energy = -0.691 eV per atom
calculated volume = 25.6 Å³ per atom

Cell: 4.107 4.107 6.073 Å, 90.00 90.00 90.00°
Positions (direct):
Sc (0.500, 0.500, 0.871)
Te (0.000, 0.000, 0.876)
Te (0.500, 0.500, 0.372)
Zn (0.000, 0.000, 0.381)

***

No. 7
ErPu2Rh9 after structural relaxation. Source: the Alexandria database, functional PBE.

D(E_F) = 2.14 states/eV/atom
electronic total energy = -8.7064 eV per atom
symmetry = R-3m (166)
calculated volume = 17.4 Å³ per atom

Cell: 5.239 5.239 9.290 Å, 73.62 73.62 60.00°
Last column: magnetic moment on the atom in μB.
Positions (direct):
Er (0.000, 0.000, 0.000)  0.11
Pu (0.860, 0.860, 0.420)  4.94
Pu (0.140, 0.140, 0.580)  4.94
Rh (0.667, 0.667, 0.000)  -0.15
Rh (0.333, 0.333, 0.000)  -0.15
Rh (0.500, 0.500, 0.500)  -0.31
Rh (0.415, 0.415, 0.250)  -0.22
Rh (0.919, 0.415, 0.250)  -0.22
Rh (0.415, 0.919, 0.250)  -0.22
Rh (0.585, 0.585, 0.750)  -0.22
Rh (0.585, 0.081, 0.750)  -0.22
Rh (0.081, 0.585, 0.750)  -0.22

***

No. 8
BaP2HO after structural relaxation. Source: the Alexandria database, functional PBE.

D(E_F) = 0.61 states/eV/atom
electronic total energy = -4.5368 eV per atom
symmetry = P4/mmm (123)
calculated volume = 18.5 Å³ per atom

Cell: 3.640 3.640 6.984 Å, 90.00 90.00 90.00°
Last column: magnetic moment on the atom in μB.
Positions (direct):
P (0.000, 0.500, 0.000)  0.00
P (0.500, 0.000, 0.000)  0.00
Ba (0.500, 0.500, 0.500)  0.02
O (0.000, 0.000, 0.500)  0.24
H (0.000, 0.000, 0.000)  0.00

***

No. 9
DyGa2Au7 after structural relaxation. Source: the Alexandria database, functional PBE.

D(E_F) = 0.28 states/eV/atom
electronic total energy = -3.5934 eV per atom
symmetry = Cmmm (65)
calculated volume = 22.8 Å³ per atom

Cell: 4.681 7.490 7.490 Å, 119.58 90.00 90.00°
Positions (direct):
Dy (0.000, 0.000, 0.000)
Ga (0.500, 0.700, 0.300)
Ga (0.500, 0.300, 0.700)
Au (0.000, 0.777, 0.223)
Au (0.000, 0.223, 0.777)
Au (0.500, 0.071, 0.300)
Au (0.500, 0.929, 0.700)
Au (0.500, 0.300, 0.071)
Au (0.500, 0.700, 0.929)
Au (0.500, 0.500, 0.500)

***

No. 10
LuP3 after structural relaxation. Source: the Alexandria database, functional PBE.

D(E_F) = 0.05 states/eV/atom
electronic total energy = -5.7305 eV per atom
symmetry = Pmm2 (25)
calculated volume = 20.0 Å³ per atom

Cell: 3.675 4.016 5.434 Å, 90.00 90.00 90.00°
Positions (direct):
P (0.500, 0.311, 0.000)
P (0.500, 0.432, 0.500)
P (0.000, 0.788, 0.500)
Lu (0.000, 0.803, 0.000)

***

> Among the records above, which one has the highest calculated volume?

BaTbAs2S8

***

> The lowest D(E_F) belongs to which entry?

LuP3

***

> Which of these has the highest D(E_F)?

ErPu2Rh9

***

Repeat the eighth record exactly.
BaP2HO after structural relaxation. Source: the Alexandria database, functional PBE.

D(E_F) = 0.61 states/eV/atom
electronic total energy = -4.5368 eV per atom
symmetry = P4/mmm (123)
calculated volume = 18.5 Å³ per atom

Cell: 3.640 3.640 6.984 Å, 90.00 90.00 90.00°
Last column: magnetic moment on the atom in μB.
Positions (direct):
P (0.000, 0.500, 0.000)  0.00
P (0.500, 0.000, 0.000)  0.00
Ba (0.500, 0.500, 0.500)  0.02
O (0.000, 0.000, 0.500)  0.24
H (0.000, 0.000, 0.000)  0.00